[1]
The following is a PBE-GGA calculation of crystalline Hg2SCl3 at its relaxed geometry, from Alexandria via LeMat-Bulk.

a = 4.308 Å, b = 8.048 Å, c = 11.202 Å
α = 82.80°, β = 90.02°, γ = 105.59°
Sites, in units of the cell vectors:
1 Cl 0.248 0.496 0.167
2 Cl 0.040 0.079 0.718
3 Cl 0.335 0.670 0.558
4 Cl 0.665 0.330 0.442
5 Cl 0.752 0.504 0.833
6 Cl 0.960 0.921 0.282
7 Hg 0.881 0.765 0.939
8 Hg 0.187 0.374 0.641
9 Hg 0.813 0.626 0.359
10 Hg 0.119 0.235 0.061
11 S 0.567 0.133 0.968
12 S 0.433 0.867 0.032

Summary:
Symmetry: P-1 (2)
Total moment, μB per formula unit: 0.00

=====

[2]
The following is a PBE-GGA calculation of crystalline HgS2Cl2 at its relaxed geometry, from Alexandria via LeMat-Bulk.

a = 4.056 Å, b = 4.737 Å, c = 10.611 Å
α = 77.19°, β = 94.23°, γ = 127.18°
Sites, in units of the cell vectors:
1 Cl 0.594 0.370 0.852
2 Cl 0.406 0.630 0.148
3 S 0.208 0.835 0.527
4 S 0.792 0.165 0.473
5 Hg 0.000 0.000 0.000

Summary:
Symmetry: P-1 (2)
Total moment, μB per formula unit: 0.00

=====

[3]
The following is a PBE-GGA calculation of crystalline Hg4S2Cl3 at its relaxed geometry, from Alexandria via LeMat-Bulk.

a = 7.662 Å, b = 8.512 Å, c = 8.512 Å
α = 98.40°, β = 86.26°, γ = 86.26°
Sites, in units of the cell vectors:
1 Hg 0.001 0.689 0.162
2 Hg 0.999 0.311 0.838
3 Hg 0.499 0.838 0.311
4 Hg 0.859 0.738 0.732
5 Hg 0.141 0.262 0.268
6 Hg 0.641 0.268 0.262
7 Hg 0.359 0.732 0.738
8 Hg 0.501 0.162 0.689
9 Cl 0.415 0.268 0.979
10 Cl 0.085 0.021 0.732
11 Cl 0.250 0.631 0.369
12 Cl 0.585 0.732 0.021
13 Cl 0.915 0.979 0.268
14 Cl 0.750 0.369 0.631
15 S 0.606 0.852 0.608
16 S 0.894 0.392 0.148
17 S 0.106 0.608 0.852
18 S 0.394 0.148 0.392

Summary:
Symmetry: C2/c (15)
Total moment, μB per formula unit: 0.00

=====

[4]
The following is a PBE-GGA calculation of crystalline HgS8Cl2 at its relaxed geometry, from Alexandria via LeMat-Bulk.

a = 7.275 Å, b = 10.597 Å, c = 10.597 Å
α = 32.77°, β = 130.13°, γ = 130.13°
Sites, in units of the cell vectors:
1 S 0.887 0.570 0.078
2 S 0.932 0.575 0.575
3 S 0.285 0.773 0.773
4 S 0.068 0.425 0.425
5 S 0.113 0.430 0.922
6 S 0.887 0.078 0.570
7 S 0.113 0.922 0.430
8 S 0.715 0.227 0.227
9 Cl 0.384 0.324 0.324
10 Cl 0.616 0.676 0.676
11 Hg 0.000 0.000 0.000

Summary:
Symmetry: C2/m (12)
Total moment, μB per formula unit: 0.00

=====

Number 1: formation energy from raw total energies -0.4137 eV per atom. Number 2: formation energy from raw total energies -0.2197 eV per atom. Number 3: formation energy from raw total energies -0.2955 eV per atom. Number 4: formation energy from raw total energies 0.1389 eV per atom.